An optimized crystal structure of Lu2SnSb. Source: the Alexandria database, functional PBE-GGA.

Its electronic total energy is -5.0165 eV per atom. For the density, the calculation gives 8.648 Mg/m³. For the magnetic moment, the calculation gives 0.0 μB/f.u. The uncorrected formation energy is -0.725 eV per atom.

The space group is R-3m (No. 166, hexagonal axes) and the conventional cell measures 4.1561, 4.1561 and 22.7363 Å, with angles of 90.00, 90.00 and 120.00 degrees. The distinct sites, in fractional coordinates, are Lu at (0.0000, 0.0000, 0.2468), Sn at (0.0000, 0.0000, 0.0000) and Sb at (0.0000, 0.0000, 0.5000).

***

An optimized crystal structure of LuSnSb2. Source: the Alexandria database, functional PBE-GGA.

Its electronic total energy is -4.5674 eV per atom. The value obtained for the offset from the most stable computed form is 0.0 meV per atom. For the density, the calculation gives 8.366 Mg/m³. For the magnetic moment, the calculation gives 0.0 μB/f.u. The uncorrected formation energy is -0.375 eV per atom.

The space group is P4/mmm (No. 123) and the conventional cell measures 4.072, 4.072 and 6.430 Å, with angles of 90.00, 90.00 and 90.00 degrees. The distinct sites, in fractional coordinates, are Lu at (0.000, 0.000, 0.000), Sn at (0.000, 0.000, 0.500) and Sb at (0.500, 0.500, 0.235).

***

An optimized crystal structure of LuSnSb2. Source: the Alexandria database, functional PBE-GGA.

Its electronic total energy is -4.5620 eV per atom. The value obtained for the offset from the most stable computed form is 5.4 meV per atom. For the density, the calculation gives 7.519 Mg/m³. For the magnetic moment, the calculation gives 0.0 μB/f.u. The uncorrected formation energy is -0.370 eV per atom.

The space group is R-3m (No. 166, hexagonal axes) and the conventional cell measures 4.2674, 4.2674 and 22.5683 Å, with angles of 90.00, 90.00 and 120.00 degrees. The distinct sites, in fractional coordinates, are Lu at (0.0000, 0.0000, 0.0000), Sn at (0.0000, 0.0000, 0.5000) and Sb at (0.0000, 0.0000, 0.2524).

***

An optimized crystal structure of LuSnSb2. Source: the Alexandria database, functional PBE-GGA.

Its electronic total energy is -4.5170 eV per atom. The value obtained for the offset from the most stable computed form is 50.4 meV per atom. For the density, the calculation gives 8.428 Mg/m³. For the magnetic moment, the calculation gives 0.0 μB/f.u. The uncorrected formation energy is -0.325 eV per atom.

The space group is P4/mmm (No. 123) and the conventional cell measures 5.162, 5.162 and 3.972 Å, with angles of 90.00, 90.00 and 90.00 degrees. The distinct sites, in fractional coordinates, are Lu at (0.000, 0.000, 0.000), Sn at (0.500, 0.500, 0.000) and Sb at (0.000, 0.500, 0.500).

***

An optimized crystal structure of SrLuSb2. Source: the Alexandria database, functional PBE-GGA.

Its electronic total energy is -4.5097 eV per atom. For the density, the calculation gives 6.393 Mg/m³. For the magnetic moment, the calculation gives 0.0 μB/f.u. The uncorrected formation energy is -0.898 eV per atom.

The space group is R-3m (No. 166, hexagonal axes) and the conventional cell measures 4.4468, 4.4468 and 23.0282 Å, with angles of 90.00, 90.00 and 120.00 degrees. The distinct sites, in fractional coordinates, are Sr at (0.0000, 0.0000, 0.0000), Lu at (0.0000, 0.0000, 0.5000) and Sb at (0.0000, 0.0000, 0.2394).

***

An optimized crystal structure of TbLuSb2. Source: the Alexandria database, functional PBE-GGA.

Its electronic total energy is -5.4315 eV per atom. For the density, the calculation gives 8.200 Mg/m³. For the magnetic moment, the calculation gives 0.0 μB/f.u. The uncorrected formation energy is -1.082 eV per atom.

The space group is R-3m (No. 166, hexagonal axes) and the conventional cell measures 4.3581, 4.3581 and 21.3268 Å, with angles of 90.00, 90.00 and 120.00 degrees. The distinct sites, in fractional coordinates, are Tb at (0.0000, 0.0000, 0.0000), Lu at (0.0000, 0.0000, 0.5000) and Sb at (0.0000, 0.0000, 0.2478).

***

An optimized crystal structure of Lu2SbTe. Source: the Alexandria database, functional PBE-GGA.

Its electronic total energy is -5.1794 eV per atom. For the density, the calculation gives 8.863 Mg/m³. For the magnetic moment, the calculation gives 0.0 μB/f.u. The uncorrected formation energy is -1.103 eV per atom.

The space group is R-3m (No. 166, hexagonal axes) and the conventional cell measures 4.2985, 4.2985 and 21.0519 Å, with angles of 90.00, 90.00 and 120.00 degrees. The distinct sites, in fractional coordinates, are Lu at (0.0000, 0.0000, 0.2457), Sb at (0.0000, 0.0000, 0.5000) and Te at (0.0000, 0.0000, 0.0000).

***

An optimized crystal structure of LuThSbTe. Source: the Alexandria database, functional PBE-GGA.

Its electronic total energy is -5.6941 eV per atom. For the density, the calculation gives 9.971 Mg/m³. For the magnetic moment, the calculation gives 0.0 μB/f.u. The uncorrected formation energy is -0.893 eV per atom.

The space group is F-43m (No. 216) and the conventional cell measures 7.590, 7.590 and 7.590 Å, with angles of 90.00, 90.00 and 90.00 degrees. The distinct sites, in fractional coordinates, are Lu at (0.000, 0.000, 0.000), Th at (0.000, 0.000, 0.500), Sb at (0.250, 0.250, 0.750) and Te at (0.250, 0.250, 0.250).